# YCu2

YCu2 at its PBEsol-relaxed geometry (meta-GGA SCAN, Alexandria).

Properties
* formation energy from the elements: -0.20 eV/atom
* N(E_F): 6.00 states/eV per cell

a b c (Å): 3.741 5.416 10.376
angles (deg): 90.00 90.00 90.00
Space group Immm (No. 71)
Unique sites:
Y  0.000  0.000  0.176 [4 per cell]
Cu  0.000  0.232  0.500 [4 per cell]
Cu  0.000  0.500  0.113 [4 per cell]


# Li2AgOs

Li2AgOs at its PBEsol-relaxed geometry (meta-GGA SCAN, Alexandria).

Properties
* formation energy from the elements: 0.28 eV/atom
* relative energy among the computed polymorphs: 61.8 meV per atom
* N(E_F): 2.10 states/eV per cell

a b c (Å): 2.601 2.601 9.054
angles (deg): 90.00 90.00 90.00
Space group P4mm (No. 99)
Unique sites:
Li  0.000  0.000  0.000 [1 per cell]
Li  0.500  0.500  0.295 [1 per cell]
Ag  0.500  0.500  0.769 [1 per cell]
Os  0.000  0.000  0.518 [1 per cell]


# Al2FeB

Al2FeB at its PBEsol-relaxed geometry (meta-GGA SCAN, Alexandria).

Properties
* formation energy from the elements: -0.16 eV/atom
* N(E_F): 1.99 states/eV per cell

a b c (Å): 3.280 4.662 5.958
angles (deg): 90.00 90.00 90.00
Space group Pmc2_1 (No. 26)
Unique sites:
Al  0.000  0.128  0.000 [2 per cell]
Al  0.500  0.336  0.340 [2 per cell]
Fe  0.000  0.369  0.647 [2 per cell]
B  0.500  0.138  0.692 [2 per cell]


# NaLaMo3

NaLaMo3 at its PBEsol-relaxed geometry (meta-GGA SCAN, Alexandria).

Properties
* formation energy from the elements: 2.26 eV/atom
* N(E_F): 6.95 states/eV per cell

a b c (Å): 4.779 4.779 4.779
angles (deg): 90.00 90.00 90.00
Space group Pm-3m (No. 221)
Unique sites:
Na  0.000  0.000  0.000 [1 per cell]
La  0.500  0.500  0.500 [1 per cell]
Mo  0.000  0.500  0.500 [3 per cell]


# Be2SiTeS

Be2SiTeS at its PBEsol-relaxed geometry (meta-GGA SCAN, Alexandria).

Properties
* N(E_F): 1.21 states/eV per cell
* E_form (uncorrected): 0.5566 eV/atom

a b c (Å): 4.283 4.283 4.858
angles (deg): 90.00 90.00 90.00
Space group P4/mmm (No. 123)
Unique sites:
Be  0.000  0.500  0.000 [2 per cell]
Si  0.000  0.000  0.000 [1 per cell]
Te  0.500  0.500  0.500 [1 per cell]
S  0.000  0.000  0.500 [1 per cell]


# SrP2RuO

SrP2RuO at its PBEsol-relaxed geometry (meta-GGA SCAN, Alexandria).

Properties
* N(E_F): 3.94 states/eV per cell
* E_form (uncorrected): -0.4830 eV/atom

a b c (Å): 4.880 4.880 3.729
angles (deg): 90.00 90.00 90.00
Space group P4/mmm (No. 123)
Unique sites:
Sr  0.000  0.000  0.000 [1 per cell]
P  0.000  0.500  0.500 [2 per cell]
Ru  0.500  0.500  0.500 [1 per cell]
O  0.500  0.500  0.000 [1 per cell]


# YBeOs2

YBeOs2 at its PBEsol-relaxed geometry (meta-GGA SCAN, Alexandria).

Properties
* formation energy from the elements: 0.50 eV/atom
* N(E_F): 5.17 states/eV per cell

a b c (Å): 5.338 7.736 3.026
angles (deg): 90.00 90.00 90.00
Space group Cmmm (No. 65)
Unique sites:
Y  0.000  0.000  0.000 [2 per cell]
Be  0.000  0.500  0.000 [2 per cell]
Os  0.250  0.250  0.500 [4 per cell]


# CdIn3S

CdIn3S at its PBEsol-relaxed geometry (meta-GGA SCAN, Alexandria).

Properties
* N(E_F): 2.40 states/eV per cell
* E_form (uncorrected): 0.3244 eV/atom

a b c (Å): 5.213 5.213 5.213
angles (deg): 90.00 90.00 90.00
Space group Pm-3m (No. 221)
Unique sites:
Cd  0.000  0.000  0.000 [1 per cell]
In  0.000  0.500  0.500 [3 per cell]
S  0.500  0.500  0.500 [1 per cell]


# Ho2WO6

Ho2WO6 at its PBEsol-relaxed geometry (meta-GGA SCAN, Alexandria).

Properties
* relative energy among the computed polymorphs: 19.9 meV per atom
* N(E_F): 0.00 states/eV per cell
* E_form (uncorrected): -3.3121 eV/atom

a b c (Å): 15.649 10.868 5.311
angles (deg): 90.00 105.18 90.00
Space group C2/c (No. 15)
Unique sites:
Ho  0.000  0.109  0.250 [4 per cell]
Ho  0.000  0.376  0.750 [4 per cell]
Ho  0.173  0.113  0.886 [8 per cell]
W  0.157  0.341  0.417 [8 per cell]
O  0.079  0.458  0.469 [8 per cell]
O  0.083  0.233  0.579 [8 per cell]
O  0.091  0.013  0.080 [8 per cell]
O  0.097  0.281  0.093 [8 per cell]
O  0.235  0.458  0.360 [8 per cell]
O  0.246  0.283  0.723 [8 per cell]


# Bi2PdO4

Bi2PdO4 at its PBEsol-relaxed geometry (meta-GGA SCAN, Alexandria).

Properties
* relative energy among the computed polymorphs: 0.0 meV per atom
* N(E_F): 0.65 states/eV per cell
* E_form (uncorrected): -1.0040 eV/atom

a b c (Å): 8.434 8.434 6.027
angles (deg): 90.00 90.00 90.00
Space group P4/ncc (No. 130, origin choice 2)
Unique sites:
Bi  0.082  0.582  0.250 [8 per cell]
Pd  0.250  0.250  0.081 [4 per cell]
O  0.034  0.149  0.590 [16 per cell]


# Mg30FeNiO32

Mg30FeNiO32 at its PBEsol-relaxed geometry (meta-GGA SCAN, Alexandria).

Properties
* N(E_F): 4.29 states/eV per cell
* E_form (uncorrected): -2.9021 eV/atom

a b c (Å): 8.438 8.438 8.436
angles (deg): 90.00 90.00 90.00
Space group P4/mmm (No. 123)
Unique sites:
Mg  0.000  0.000  0.000 [1 per cell]
Mg  0.000  0.000  0.500 [1 per cell]
Mg  0.000  0.250  0.250 [8 per cell]
Mg  0.000  0.500  0.000 [2 per cell]
Mg  0.000  0.500  0.500 [2 per cell]
Mg  0.250  0.250  0.000 [4 per cell]
Mg  0.250  0.500  0.251 [8 per cell]
Mg  0.251  0.251  0.500 [4 per cell]
Fe  0.500  0.500  0.000 [1 per cell]
Ni  0.500  0.500  0.500 [1 per cell]
O  0.000  0.000  0.250 [2 per cell]
O  0.000  0.250  0.000 [4 per cell]
O  0.000  0.250  0.500 [4 per cell]
O  0.000  0.500  0.251 [4 per cell]
O  0.246  0.500  0.000 [4 per cell]
O  0.249  0.500  0.500 [4 per cell]
O  0.251  0.251  0.250 [8 per cell]
O  0.500  0.500  0.240 [2 per cell]


# PrMoBrO4

PrMoBrO4 at its PBEsol-relaxed geometry (meta-GGA SCAN, Alexandria).

Properties
* N(E_F): 0.00 states/eV per cell
* E_form (uncorrected): -2.4715 eV/atom

a b c (Å): 7.148 7.444 10.493
angles (deg): 71.00 72.97 70.02
Space group P-1 (No. 2)
Unique sites:
Pr  0.117  0.134  0.050 [2 per cell]
Pr  0.376  0.882  0.697 [2 per cell]
Mo  0.101  0.232  0.362 [2 per cell]
Mo  0.365  0.701  0.337 [2 per cell]
Br  0.016  0.414  0.706 [2 per cell]
Br  0.258  0.517  0.941 [2 per cell]
O  0.039  0.873  0.695 [2 per cell]
O  0.145  0.747  0.472 [2 per cell]
O  0.164  0.985  0.884 [2 per cell]
O  0.264  0.106  0.482 [2 per cell]
O  0.303  0.217  0.215 [2 per cell]
O  0.309  0.833  0.174 [2 per cell]
O  0.463  0.191  0.646 [2 per cell]
O  0.472  0.445  0.355 [2 per cell]


# BaGaAu3

BaGaAu3 at its PBEsol-relaxed geometry (meta-GGA SCAN, Alexandria).

Properties
* formation energy from the elements: 0.53 eV/atom

a b c (Å): 5.944 5.944 5.944
angles (deg): 90.00 90.00 90.00
Space group Pm-3m (No. 221)
Unique sites:
Ba  0.000  0.000  0.000 [1 per cell]
Ga  0.500  0.500  0.500 [1 per cell]
Au  0.000  0.000  0.500 [3 per cell]


# YHfTl2Re

YHfTl2Re at its PBEsol-relaxed geometry (meta-GGA SCAN, Alexandria).

Properties
* formation energy from the elements: 1.82 eV/atom
* N(E_F): 3.73 states/eV per cell

a b c (Å): 5.409 5.409 4.681
angles (deg): 90.00 90.00 90.00
Space group P4/mmm (No. 123)
Unique sites:
Y  0.000  0.000  0.000 [1 per cell]
Hf  0.500  0.500  0.500 [1 per cell]
Tl  0.000  0.500  0.000 [2 per cell]
Re  0.000  0.000  0.500 [1 per cell]


# P2HOsC

P2HOsC at its PBEsol-relaxed geometry (meta-GGA SCAN, Alexandria).

Properties
* N(E_F): 2.62 states/eV per cell
* E: -98.73 eV per cell

a b c (Å): 4.298 4.298 2.752
angles (deg): 90.00 90.00 90.00
Space group P4/mmm (No. 123)
Unique sites:
P  0.000  0.500  0.000 [2 per cell]
H  0.000  0.000  0.000 [1 per cell]
Os  0.500  0.500  0.500 [1 per cell]
C  0.000  0.000  0.500 [1 per cell]


# OsAuBr4

OsAuBr4 at its PBEsol-relaxed geometry (meta-GGA SCAN, Alexandria).

Properties
* N(E_F): 29.89 states/eV per cell
* E_form (uncorrected): 1.8880 eV/atom

a b c (Å): 8.225 8.225 8.225
angles (deg): 90.00 90.00 90.00
Space group F-43m (No. 216)
Unique sites:
Os  0.000  0.000  0.000 [4 per cell]
Au  0.250  0.250  0.250 [4 per cell]
Br  0.125  0.125  0.625 [16 per cell]


# CdPPbO2

CdPPbO2 at its PBEsol-relaxed geometry (meta-GGA SCAN, Alexandria).

Properties
* N(E_F): 2.94 states/eV per cell
* E_form (uncorrected): 0.1543 eV/atom

a b c (Å): 4.146 4.146 5.031
angles (deg): 90.00 90.00 90.00
Space group P4/mmm (No. 123)
Unique sites:
Cd  0.000  0.000  0.000 [1 per cell]
P  0.000  0.000  0.500 [1 per cell]
Pb  0.500  0.500  0.500 [1 per cell]
O  0.000  0.500  0.000 [2 per cell]


# NaMnP3

NaMnP3 at its PBEsol-relaxed geometry (meta-GGA SCAN, Alexandria).

Properties
* formation energy from the elements: 0.19 eV/atom
* N(E_F): 3.66 states/eV per cell

a b c (Å): 4.443 4.443 4.443
angles (deg): 90.00 90.00 90.00
Space group Pm-3m (No. 221)
Unique sites:
Na  0.000  0.000  0.000 [1 per cell]
Mn  0.500  0.500  0.500 [1 per cell]
P  0.000  0.500  0.500 [3 per cell]


# Sc2Se

Sc2Se at its PBEsol-relaxed geometry (meta-GGA SCAN, Alexandria).

Properties
* N(E_F): 2.79 states/eV per cell
* E_form (uncorrected): -1.1441 eV/atom

a b c (Å): 3.5869 3.5869 5.8880
angles (deg): 90.00 90.00 120.00
Space group P-3m1 (No. 164)
Unique sites:
Sc  0.3333  0.6667  0.2165 [2 per cell]
Se  0.0000  0.0000  0.5000 [1 per cell]


# Ba2CaAl

Ba2CaAl at its PBEsol-relaxed geometry (meta-GGA SCAN, Alexandria).

Properties
* formation energy from the elements: -0.03 eV/atom
* N(E_F): 3.47 states/eV per cell

a b c (Å): 4.002 4.002 10.156
angles (deg): 90.00 90.00 90.00
Space group P4mm (No. 99)
Unique sites:
Ba  0.000  0.000  0.000 [1 per cell]
Ba  0.500  0.500  0.352 [1 per cell]
Ca  0.000  0.000  0.645 [1 per cell]
Al  0.500  0.500  0.793 [1 per cell]